1.
Below is KNi2Hg after structural relaxation, with properties calculated at the PBE level.

Cell and atoms, written as CIF:
```
data_KNi2Hg
_symmetry_space_group_name_H-M 'P 1'
_symmetry_Int_Tables_number 1
_cell_length_a 9.6094
_cell_length_b 9.6094
_cell_length_c 9.6094
_cell_angle_alpha 18.36
_cell_angle_beta 18.36
_cell_angle_gamma 18.36
loop_
_symmetry_equiv_pos_as_xyz
'x,y,z'
loop_
_atom_site_label
_atom_site_type_symbol
_atom_site_fract_x
_atom_site_fract_y
_atom_site_fract_z
K1 K 0.0000 0.0000 0.0000
Ni1 Ni 0.2383 0.2383 0.2383
Ni2 Ni 0.7617 0.7617 0.7617
Hg1 Hg 0.5000 0.5000 0.5000
```

Summary:
Energy relative to the elements = 2.9 eV/f.u.
Electronic total energy = -2.52 eV/atom
Magnetization = 0.4 μB per formula unit
Space-group type = R-3m

***

2.
Below is Ca2HgRh after structural relaxation, with properties calculated at the PBE level.

Cell and atoms, written as CIF:
```
data_Ca2HgRh
_symmetry_space_group_name_H-M 'P 1'
_symmetry_Int_Tables_number 1
_cell_length_a 3.5952
_cell_length_b 3.5952
_cell_length_c 8.0138
_cell_angle_alpha 90.00
_cell_angle_beta 90.00
_cell_angle_gamma 90.00
loop_
_symmetry_equiv_pos_as_xyz
'x,y,z'
loop_
_atom_site_label
_atom_site_type_symbol
_atom_site_fract_x
_atom_site_fract_y
_atom_site_fract_z
Ca1 Ca 0.0000 0.0000 0.0000
Ca2 Ca 0.5000 0.5000 0.3943
Hg1 Hg 0.0000 0.0000 0.6190
Rh1 Rh 0.5000 0.5000 0.7981
```

Summary:
Energy relative to the elements = -0.9 eV/f.u.
Electronic total energy = -3.13 eV/atom
Magnetization = 0.0 μB per formula unit
Space-group type = P4mm

***

3.
Below is Mg3PN after structural relaxation, with properties calculated at the PBE level.

Cell and atoms, written as CIF:
```
data_Mg3PN
_symmetry_space_group_name_H-M 'P 1'
_symmetry_Int_Tables_number 1
_cell_length_a 6.8665
_cell_length_b 6.8665
_cell_length_c 6.8665
_cell_angle_alpha 32.94
_cell_angle_beta 32.94
_cell_angle_gamma 32.94
loop_
_symmetry_equiv_pos_as_xyz
'x,y,z'
loop_
_atom_site_label
_atom_site_type_symbol
_atom_site_fract_x
_atom_site_fract_y
_atom_site_fract_z
Mg1 Mg 0.0000 0.0000 0.0000
Mg2 Mg 0.2104 0.2104 0.2104
Mg3 Mg 0.4443 0.4443 0.4443
P1 P 0.6022 0.6022 0.6022
N1 N 0.1050 0.1050 0.1050
```

Summary:
Electronic total energy = -4.33 eV/atom
Magnetization = 0.0 μB per formula unit
Space-group type = R3m
Uncorrected formation energy = -0.6310 eV per atom
Offset from the most stable computed form = 107 meV/atom

***

4.
Below is KTlP2 after structural relaxation, with properties calculated at the PBE level.

Cell and atoms, written as CIF:
```
data_KTlP2
_symmetry_space_group_name_H-M 'P 1'
_symmetry_Int_Tables_number 1
_cell_length_a 5.1589
_cell_length_b 5.1589
_cell_length_c 5.1589
_cell_angle_alpha 60.00
_cell_angle_beta 60.00
_cell_angle_gamma 60.00
loop_
_symmetry_equiv_pos_as_xyz
'x,y,z'
loop_
_atom_site_label
_atom_site_type_symbol
_atom_site_fract_x
_atom_site_fract_y
_atom_site_fract_z
K1 K 0.0000 0.0000 0.0000
Tl1 Tl 0.2500 0.2500 0.2500
P1 P 0.5000 0.5000 0.5000
P2 P 0.7500 0.7500 0.7500
```

Summary:
Energy relative to the elements = 2.0 eV/f.u.
Electronic total energy = -3.06 eV/atom
Magnetization = 0.0 μB per formula unit
Space-group type = F-43m
Offset from the most stable computed form = 685 meV/atom

***

5.
Below is Cd2CuHgGe after structural relaxation, with properties calculated at the PBE level.

Cell and atoms, written as CIF:
```
data_Cd2CuHgGe
_symmetry_space_group_name_H-M 'P 1'
_symmetry_Int_Tables_number 1
_cell_length_a 5.1352
_cell_length_b 5.1352
_cell_length_c 4.5709
_cell_angle_alpha 90.00
_cell_angle_beta 90.00
_cell_angle_gamma 90.00
loop_
_symmetry_equiv_pos_as_xyz
'x,y,z'
loop_
_atom_site_label
_atom_site_type_symbol
_atom_site_fract_x
_atom_site_fract_y
_atom_site_fract_z
Cd1 Cd 0.0000 0.5000 0.0000
Cd2 Cd 0.5000 0.0000 0.0000
Cu1 Cu 0.0000 0.0000 0.0000
Hg1 Hg 0.5000 0.5000 0.5000
Ge1 Ge 0.0000 0.0000 0.5000
```

Summary:
Energy relative to the elements = 1.0 eV/f.u.
Electronic total energy = -1.97 eV/atom
Magnetization = 0.0 μB per formula unit
Space-group type = P4/mmm

***

6.
Below is CrMoCl2 after structural relaxation, with properties calculated at the PBE level.

Cell and atoms, written as CIF:
```
data_CrMoCl2
_symmetry_space_group_name_H-M 'P 1'
_symmetry_Int_Tables_number 1
_cell_length_a 5.1464
_cell_length_b 5.1464
_cell_length_c 3.4653
_cell_angle_alpha 108.25
_cell_angle_beta 108.25
_cell_angle_gamma 109.07
loop_
_symmetry_equiv_pos_as_xyz
'x,y,z'
loop_
_atom_site_label
_atom_site_type_symbol
_atom_site_fract_x
_atom_site_fract_y
_atom_site_fract_z
Cr1 Cr 0.0000 0.0000 0.0000
Mo1 Mo 0.5000 0.5000 0.0000
Cl1 Cl 0.0000 0.5000 0.0000
Cl2 Cl 0.5000 0.0000 0.0000
```

Summary:
Electronic total energy = -5.66 eV/atom
Magnetization = 1.4 μB per formula unit
Space-group type = C2/m
Uncorrected formation energy = 0.3750 eV per atom
Offset from the most stable computed form = 600 meV/atom